## Li2LaZnH (GGA-PBE)

Data for a relaxed Li2LaZnH crystal.

Properties
**Density of states at the Fermi level**: 0.784 states/eV/atom
**Magnetization**: 0.30 μB per cell
**Uncorrected energy**: -2.83 eV per atom
**SG**: No. 123

Geometry as POSCAR:
```
Li2LaZnH
1.0
4.3199 0.0000 0.0000
0.0000 4.3199 0.0000
0.0000 0.0000 5.0677
H Zn Li La
1 1 2 1
Direct
0.0000 0.0000 0.0000 H
0.5000 0.5000 0.5000 Zn
0.0000 0.5000 0.0000 Li
0.5000 0.0000 0.0000 Li
0.0000 0.0000 0.5000 La
```


## KSrAcBr6 (GGA-PBE)

Data for a relaxed KSrAcBr6 crystal.

Properties
**Density of states at the Fermi level**: 0.000 states/eV/atom
**ΔE_f (raw)**: -2.000 eV/atom
**Magnetization**: 0.00 μB per cell
**SG**: No. 163

Geometry as POSCAR:
```
KSrAcBr6
1.0
7.9979 0.0000 0.0000
-3.9989 6.9263 0.0000
0.0000 0.0000 14.0668
K Sr Ac Br
2 2 2 12
Direct
0.0000 0.0000 0.0000 K
0.0000 0.0000 0.5000 K
0.3333 0.6667 0.2500 Sr
0.6667 0.3333 0.7500 Sr
0.6667 0.3333 0.2500 Ac
0.3333 0.6667 0.7500 Ac
0.6415 0.6392 0.1310 Br
0.9976 0.3585 0.1310 Br
0.3585 0.9976 0.6310 Br
0.0024 0.6415 0.8690 Br
0.3608 0.3585 0.3690 Br
0.9976 0.6392 0.3690 Br
0.6392 0.9976 0.8690 Br
0.6415 0.0024 0.3690 Br
0.0024 0.3608 0.6310 Br
0.3608 0.0024 0.1310 Br
0.6392 0.6415 0.6310 Br
0.3585 0.3608 0.8690 Br
```


## SmTmSc3 (GGA-PBE)

Data for a relaxed SmTmSc3 crystal.

Properties
**Density of states at the Fermi level**: 1.612 states/eV/atom
**Magnetization**: 0.00 μB per cell
**Energy relative to the elements**: 0.3 eV/f.u.
**SG**: No. 12
**Energy above the most stable polymorph in this dataset**: 25 meV/atom

Geometry as POSCAR:
```
SmTmSc3
1.0
-0.4752 2.7578 3.8628
-5.9761 -6.5584 1.0020
5.4371 -2.9125 2.7482
Sm Tm Sc
2 2 6
Direct
0.6009 0.2019 0.5476 Sm
0.3991 0.7981 0.4524 Sm
0.7989 0.5978 0.1485 Tm
0.2011 0.4022 0.8515 Tm
0.0015 0.0029 0.2427 Sc
0.9985 0.9970 0.7573 Sc
0.4036 0.8073 0.9535 Sc
0.5964 0.1927 0.0465 Sc
0.1984 0.3967 0.3455 Sc
0.8016 0.6033 0.6545 Sc
```


## BaSrYSbO6 (GGA-PBE)

Data for a relaxed BaSrYSbO6 crystal.

Properties
**Density of states at the Fermi level**: 0.000 states/eV/atom
**ΔE_f (raw)**: -2.643 eV/atom
**Magnetization**: 0.00 μB per cell
**SG**: No. 216

Geometry as POSCAR:
```
BaSrYSbO6
1.0
0.0000 4.2326 4.2326
4.2326 0.0000 4.2326
4.2326 4.2326 0.0000
Ba Sr Y Sb O
1 1 1 1 6
Direct
0.2500 0.2500 0.2500 Ba
0.7500 0.7500 0.7500 Sr
0.5000 0.5000 0.5000 Y
0.0000 0.0000 0.0000 Sb
0.2369 0.7631 0.2369 O
0.7631 0.2369 0.7631 O
0.2369 0.7631 0.7631 O
0.7631 0.2369 0.2369 O
0.2369 0.2369 0.7631 O
0.7631 0.7631 0.2369 O
```